1.
Computed, not measured: a geometry-optimized ThZnNiIr structure at the PBE-GGA level of DFT.

abc: 7.477 4.320 5.270
angles: 90.00 118.44 90.00
Space group Cm (No. 8)
Symmetry-distinct sites (fractional):
Th1 0.000 0.000 0.000 (multiplicity 2)
Zn1 0.000 0.500 0.502 (multiplicity 2)
Ni1 0.297 0.500 0.393 (multiplicity 2)
Ir1 0.213 0.000 0.638 (multiplicity 2)

Values from the calculation:
The density of states at the Fermi level comes out at 5.11 states/eV/cell. For the volume, the calculation gives 149.7 Å³ per cell. The energy above the most stable polymorph in this dataset is 0 meV/atom. Its formation energy from the elements is -0.544 eV/atom. Its raw total energy is -51.0 eV for the cell shown.

2.
Computed, not measured: a geometry-optimized LaTb2Tl3Te6 structure at the PBE-GGA level of DFT.

abc: 7.854 13.598 8.579
angles: 90.00 107.78 90.00
Space group C2/m (No. 12)
Symmetry-distinct sites (fractional):
La1 0.000 0.000 0.000 (multiplicity 2)
Tb1 0.000 0.333 0.000 (multiplicity 4)
Tl1 0.000 0.164 0.500 (multiplicity 4)
Tl2 0.000 0.500 0.500 (multiplicity 2)
Te1 0.228 0.500 0.215 (multiplicity 4)
Te2 0.244 0.172 0.217 (multiplicity 8)

Values from the calculation:
For the volume, the calculation gives 872.5 Å³ per cell. The value obtained for the energy relative to the elements, uncorrected is -1090 meV/atom. Its raw total energy is -106.4 eV for the cell shown.

3.
Computed, not measured: a geometry-optimized Na6In2Pb structure at the PBE-GGA level of DFT.

abc: 15.672 6.625 5.521
angles: 90.00 98.69 90.00
Space group C2/m (No. 12)
Symmetry-distinct sites (fractional):
Na1 0.107 0.248 0.013 (multiplicity 8)
Na2 0.210 0.000 0.560 (multiplicity 4)
In1 0.094 0.500 0.508 (multiplicity 4)
Pb1 0.000 0.000 0.500 (multiplicity 2)

Values from the calculation:
The density of states at the Fermi level comes out at 7.10 states/eV/cell. For the volume, the calculation gives 566.7 Å³ per cell. The energy above the most stable polymorph in this dataset is 46 meV/atom. Its formation energy from the elements is -0.052 eV/atom. Its raw total energy is -35.1 eV for the cell shown.

4.
Computed, not measured: a geometry-optimized Nb3Cr8Si structure at the PBE-GGA level of DFT.

abc: 4.8538 4.8538 7.9539
angles: 90.00 90.00 120.00
Space group P3m1 (No. 156)
Symmetry-distinct sites (fractional):
Nb1 0.0000 0.0000 0.0000 (multiplicity 1)
Nb2 0.0000 0.0000 0.3845 (multiplicity 1)
Nb3 0.6667 0.3333 0.8727 (multiplicity 1)
Cr1 0.1644 0.3289 0.6868 (multiplicity 3)
Cr2 0.3333 0.6667 0.4386 (multiplicity 1)
Cr3 0.3333 0.6667 0.9420 (multiplicity 1)
Cr4 0.5045 0.0090 0.1941 (multiplicity 3)
Si1 0.6667 0.3333 0.5044 (multiplicity 1)

Values from the calculation:
The density of states at the Fermi level comes out at 7.20 states/eV/cell. For the volume, the calculation gives 162.3 Å³ per cell. The value obtained for the energy relative to the elements, uncorrected is -54 meV/atom. Its raw total energy is -113.3 eV for the cell shown.